{"formula": "Nd6Tl3Te", "functional": "PBE-GGA", "state": "optimized geometry", "volume_a3_per_cell": 663.5, "formation_energy_uncorrected_ev_per_atom": -0.384, "lattice_angstrom": [[7.643, 0.000, 0.000], [0.000, 9.275, 0.907], [0.000, -1.186, 9.244]], "species": ["Tl", "Tl", "Tl", "Tl", "Tl", "Tl", "Nd", "Nd", "Nd", "Nd", "Nd", "Nd", "Nd", "Nd", "Nd", "Nd", "Nd", "Nd", "Te", "Te"], "fractional_positions": [[0.498, 0.990, 0.690], [0.998, 0.690, 0.990], [0.446, 0.502, 0.498], [0.946, 0.498, 0.502], [0.998, 0.010, 0.310], [0.498, 0.310, 0.010], [0.780, 0.991, 0.009], [0.280, 0.009, 0.991], [0.682, 0.307, 0.693], [0.584, 0.677, 0.853], [0.702, 0.530, 0.211], [0.084, 0.853, 0.677], [0.202, 0.470, 0.789], [0.084, 0.323, 0.147], [0.702, 0.789, 0.470], [0.182, 0.693, 0.307], [0.584, 0.147, 0.323], [0.202, 0.211, 0.530], [0.010, 0.176, 0.824], [0.510, 0.824, 0.176]]}